Computed, not measured: Rb2LiIn2Cl6 after structural relaxation at the PBE level of DFT.

The structure belongs to space group C2/m (No. 12); the cell edges are 12.7459, 7.6877 and 8.5991 Å and the angles 90.00°, 119.88° and 90.00°. The asymmetric unit holds Rb at (0.2090, 0.0000, 0.1615), Li at (0.0000, 0.0000, 0.5000), In at (0.0538, 0.5000, 0.1981), Cl at (0.0636, 0.2355, 0.7647) and Cl at (0.2222, 0.0000, 0.5467).

The magnetic moment comes out at 0.00 μB/f.u. The volume comes out at 33.208 Å³/atom. As for the density of states at the Fermi level: 10.99 states/eV/cell. The calculation puts the uncorrected energy at -70.82 eV per cell.



Computed, not measured: LaMgFe2 after structural relaxation at the PBE level of DFT.

The structure belongs to space group F-43m (No. 216); the cell edges are 6.7996, 6.7996 and 6.7996 Å and the angles 90.00°, 90.00° and 90.00°. The asymmetric unit holds La at (0.0000, 0.0000, 0.0000), Mg at (0.2500, 0.2500, 0.7500), Fe at (0.0000, 0.0000, 0.5000) and Fe at (0.2500, 0.2500, 0.2500).

The magnetic moment comes out at 5.15 μB/f.u. The volume comes out at 19.648 Å³/atom. As for the density of states at the Fermi level: 25.39 states/eV/cell. The calculation puts the uncorrected energy at -86.47 eV per cell.



Computed, not measured: Li2NiAg after structural relaxation at the PBE level of DFT.

The structure belongs to space group Imm2 (No. 44); the cell edges are 3.0400, 4.2415 and 8.6002 Å and the angles 90.00°, 90.00° and 90.00°. The asymmetric unit holds Li at (0.0000, 0.0000, 0.0000), Li at (0.0000, 0.5000, 0.2449), Ni at (0.0000, 0.5000, 0.7357) and Ag at (0.0000, 0.0000, 0.4900).

The magnetic moment comes out at 0.00 μB/f.u. The volume comes out at 13.862 Å³/atom. As for the density of states at the Fermi level: 2.93 states/eV/cell. The calculation puts the uncorrected energy at -24.91 eV per cell.



Computed, not measured: TlZnNF2 after structural relaxation at the PBE level of DFT.

The structure belongs to space group P4/mmm (No. 123); the cell edges are 3.9698, 3.9698 and 4.3743 Å and the angles 90.00°, 90.00° and 90.00°. The asymmetric unit holds Tl at (0.0000, 0.0000, 0.0000), Zn at (0.5000, 0.5000, 0.5000), N at (0.5000, 0.5000, 0.0000) and F at (0.0000, 0.5000, 0.5000).

The magnetic moment comes out at 0.26 μB/f.u. The volume comes out at 13.787 Å³/atom. As for the density of states at the Fermi level: 1.89 states/eV/cell. The calculation puts the uncorrected energy at -19.08 eV per cell.



Computed, not measured: Li2BiTeO6 after structural relaxation at the PBE level of DFT.

The structure belongs to space group R3 (No. 146, hexagonal axes); the cell edges are 5.3431, 5.3431 and 14.4557 Å and the angles 90.00°, 90.00° and 120.00°. The asymmetric unit holds Li at (0.0000, 0.0000, 0.0000), Li at (0.0000, 0.0000, 0.4848), Bi at (0.0000, 0.0000, 0.2101), Te at (0.0000, 0.0000, 0.7020), O at (0.0092, 0.7154, 0.6166) and O at (0.0099, 0.3642, 0.4376).

The magnetic moment comes out at 0.00 μB/f.u. The volume comes out at 11.913 Å³/atom. As for the density of states at the Fermi level: 14.12 states/eV/cell. The calculation puts the uncorrected energy at -162.03 eV per cell.



Computed, not measured: CoRhSe2N after structural relaxation at the PBE level of DFT.

The structure belongs to space group P4/mmm (No. 123); the cell edges are 5.1050, 5.1050 and 3.5991 Å and the angles 90.00°, 90.00° and 90.00°. The asymmetric unit holds Co at (0.0000, 0.0000, 0.0000), Rh at (0.5000, 0.5000, 0.5000), Se at (0.0000, 0.5000, 0.5000) and N at (0.5000, 0.5000, 0.0000).

The magnetic moment comes out at 2.58 μB/f.u. The volume comes out at 18.759 Å³/atom. As for the density of states at the Fermi level: 3.28 states/eV/cell. The calculation puts the uncorrected energy at -25.84 eV per cell.



Computed, not measured: PuNi5S4 after structural relaxation at the PBE level of DFT.

The structure belongs to space group Immm (No. 71); the cell edges are 3.6816, 6.5543 and 12.0312 Å and the angles 90.00°, 90.00° and 90.00°. The asymmetric unit holds Pu at (0.0000, 0.0000, 0.0000), Ni at (0.0000, 0.3018, 0.3189), Ni at (0.0000, 0.5000, 0.0000), S at (0.0000, 0.0000, 0.2288) and S at (0.0000, 0.2083, 0.5000).

The magnetic moment comes out at 4.09 μB/f.u. The volume comes out at 14.516 Å³/atom. As for the density of states at the Fermi level: 21.38 states/eV/cell. The calculation puts the uncorrected energy at -130.66 eV per cell.



Computed, not measured: MoP2AuSe after structural relaxation at the PBE level of DFT.

The structure belongs to space group P4/mmm (No. 123); the cell edges are 4.5809, 4.5809 and 5.2220 Å and the angles 90.00°, 90.00° and 90.00°. The asymmetric unit holds Mo at (0.0000, 0.0000, 0.0000), P at (0.0000, 0.5000, 0.0000), Au at (0.5000, 0.5000, 0.5000) and Se at (0.0000, 0.0000, 0.5000).

The magnetic moment comes out at 0.00 μB/f.u. The volume comes out at 21.916 Å³/atom. As for the density of states at the Fermi level: 4.44 states/eV/cell. The calculation puts the uncorrected energy at -25.52 eV per cell.



Computed, not measured: PmSmHg after structural relaxation at the PBE level of DFT.

The structure belongs to space group P3m1 (No. 156); the cell edges are 5.2091, 5.2091 and 3.8096 Å and the angles 90.00°, 90.00° and 120.00°. The asymmetric unit holds Pm at (0.0000, 0.0000, 0.0000), Sm at (0.6667, 0.3333, 0.4414) and Hg at (0.3333, 0.6667, 0.7048).

The magnetic moment comes out at 0.00 μB/f.u. The volume comes out at 29.841 Å³/atom. As for the density of states at the Fermi level: 3.65 states/eV/cell. The calculation puts the uncorrected energy at -10.31 eV per cell.



Computed, not measured: Ti6AlTl after structural relaxation at the PBE level of DFT.

The structure belongs to space group P4/mmm (No. 123); the cell edges are 4.1044, 4.1044 and 8.2530 Å and the angles 90.00°, 90.00° and 90.00°. The asymmetric unit holds Ti at (0.0000, 0.0000, 0.0000), Ti at (0.0000, 0.0000, 0.5000), Ti at (0.0000, 0.5000, 0.2386), Al at (0.5000, 0.5000, 0.0000) and Tl at (0.5000, 0.5000, 0.5000).

The magnetic moment comes out at 0.00 μB/f.u. The volume comes out at 17.379 Å³/atom. As for the density of states at the Fermi level: 9.66 states/eV/cell. The calculation puts the uncorrected energy at -54.42 eV per cell.



Computed, not measured: BeAg3C after structural relaxation at the PBE level of DFT.

The structure belongs to space group Pm-3m (No. 221); the cell edges are 4.2769, 4.2769 and 4.2769 Å and the angles 90.00°, 90.00° and 90.00°. The asymmetric unit holds Be at (0.0000, 0.0000, 0.0000), Ag at (0.0000, 0.5000, 0.5000) and C at (0.5000, 0.5000, 0.5000).

The magnetic moment comes out at 0.00 μB/f.u. The volume comes out at 15.646 Å³/atom. As for the density of states at the Fermi level: 1.50 states/eV/cell. The calculation puts the uncorrected energy at -16.22 eV per cell.



Computed, not measured: CuAg2PdCl6 after structural relaxation at the PBE level of DFT.

The structure belongs to space group P1 (No. 1); the cell edges are 6.3801, 6.8628 and 7.1187 Å and the angles 85.01°, 66.62° and 62.32°. The asymmetric unit holds Cu at (0.0000, 0.0000, 0.0000), Ag at (0.2352, 0.2492, 0.4742), Ag at (0.6213, 0.6927, 0.9710), Pd at (0.5099, 0.4905, 0.5058), Cl at (0.1224, 0.6775, 0.7942), Cl at (0.2778, 0.6133, 0.2990), Cl at (0.3511, 0.0267, 0.7893), Cl at (0.6529, 0.9550, 0.1937), Cl at (0.7506, 0.3694, 0.7094) and Cl at (0.8973, 0.2992, 0.2176).

The magnetic moment comes out at 1.00 μB/f.u. The volume comes out at 25.155 Å³/atom. As for the density of states at the Fermi level: 2.29 states/eV/cell. The calculation puts the uncorrected energy at -30.49 eV per cell.



Computed, not measured: Na2TlCd after structural relaxation at the PBE level of DFT.

The structure belongs to space group P4/mmm (No. 123); the cell edges are 4.7269, 4.7269 and 4.8964 Å and the angles 90.00°, 90.00° and 90.00°. The asymmetric unit holds Na at (0.0000, 0.5000, 0.0000), Tl at (0.0000, 0.0000, 0.5000) and Cd at (0.5000, 0.5000, 0.5000).

The magnetic moment comes out at 0.00 μB/f.u. The volume comes out at 27.351 Å³/atom. As for the density of states at the Fermi level: 1.81 states/eV/cell. The calculation puts the uncorrected energy at -6.26 eV per cell.